Entry 1:
The following is a GGA-PBE calculation of an optimized crystal structure of TiAs2PbSe, from the Alexandria database.

Summary:
The theoretical density is 6.52 g/cm³. The density of states at the Fermi level is 0.653 states/eV/atom. As for the symmetry: P4/mmm. The value obtained for the energy relative to the elements, uncorrected is -170 meV/atom.

Cell lengths 4.981, 4.981, 4.966 Å; angles 90.00, 90.00, 90.00 degrees
Positions (direct):
Ti (0.000, 0.000, 0.000)
As (0.000, 0.500, 0.000)
As (0.500, 0.000, 0.000)
Pb (0.500, 0.500, 0.500)
Se (0.000, 0.000, 0.500)

=====

Entry 2:
The following is a GGA-PBE calculation of an optimized crystal structure of Cs2Mg2Te3, from the Alexandria database.

Summary:
The theoretical density is 3.64 g/cm³. As for the symmetry: C2/m. The value obtained for the energy relative to the elements, uncorrected is -997 meV/atom.

Cell lengths 4.760, 10.613, 13.621 Å; angles 72.94, 79.94, 77.04 degrees
Positions (direct):
Te (0.893, 0.467, 0.747)
Te (0.090, 0.995, 0.825)
Te (0.595, 0.268, 0.541)
Te (0.910, 0.005, 0.175)
Te (0.405, 0.732, 0.459)
Te (0.107, 0.533, 0.253)
Cs (0.737, 0.861, 0.665)
Cs (0.263, 0.139, 0.335)
Cs (0.421, 0.203, 0.954)
Cs (0.579, 0.797, 0.046)
Mg (0.437, 0.497, 0.628)
Mg (0.048, 0.228, 0.676)
Mg (0.952, 0.772, 0.324)
Mg (0.563, 0.503, 0.372)

=====

Entry 3:
The following is a GGA-PBE calculation of an optimized crystal structure of ErAlNi2H, from the Alexandria database.

Summary:
The theoretical density is 7.88 g/cm³. The density of states at the Fermi level is 0.360 states/eV/atom. As for the symmetry: Cmcm. As for the final energy: -51.87 eV per cell.

Cell lengths 3.633, 5.515, 6.961 Å; angles 90.00, 90.00, 109.23 degrees
Positions (direct):
H (0.000, 0.000, 0.000)
H (0.000, 0.000, 0.500)
Ni (0.155, 0.311, 0.555)
Ni (0.845, 0.689, 0.055)
Ni (0.155, 0.311, 0.945)
Ni (0.845, 0.689, 0.445)
Al (0.275, 0.550, 0.250)
Al (0.725, 0.450, 0.750)
Er (0.445, 0.889, 0.750)
Er (0.555, 0.111, 0.250)

=====

Entry 4:
The following is a GGA-PBE calculation of an optimized crystal structure of Dy6Ag5Os, from the Alexandria database.

Summary:
The theoretical density is 10.15 g/cm³. The density of states at the Fermi level is 0.738 states/eV/atom. As for the symmetry: Cmmm. For the formation energy, the calculation gives -3.84 eV per formula unit.

Cell lengths 5.073, 7.212, 8.035 Å; angles 90.00, 71.60, 90.00 degrees
Positions (direct):
Dy (0.842, 0.759, 0.315)
Dy (0.500, 0.232, 0.000)
Dy (0.158, 0.241, 0.685)
Dy (0.842, 0.241, 0.315)
Dy (0.500, 0.768, 0.000)
Dy (0.158, 0.759, 0.685)
Os (0.000, 0.000, 0.000)
Ag (0.333, 0.500, 0.333)
Ag (0.325, 0.000, 0.350)
Ag (0.000, 0.500, 0.000)
Ag (0.675, 0.000, 0.650)
Ag (0.667, 0.500, 0.667)